# NiSI2O PBE with a Hubbard U relaxed
# Size of the total moment, μB per cell: 1.4
# ΔE to the lowest computed polymorph, meV/atom: 135
# Density of states at the Fermi level, states/eV per cell: 4.98
data_NiSI2O
_symmetry_space_group_name_H-M 'P 4/m m m'
_symmetry_Int_Tables_number 123
_symmetry_space_group_name_Hall '-P 4 2'
_cell_length_a 5.618
_cell_length_b 5.618
_cell_length_c 3.615
_cell_angle_alpha 90.00
_cell_angle_beta 90.00
_cell_angle_gamma 90.00
loop_
_atom_site_label
_atom_site_type_symbol
_atom_site_fract_x
_atom_site_fract_y
_atom_site_fract_z
Ni1 Ni 0.000 0.000 0.000
S1 S 0.500 0.500 0.500
I1 I 0.000 0.500 0.500
O1 O 0.500 0.500 0.000